Entry 1:
Density functional theory data (PBEsol) for a relaxed LaTe2Os crystal.

Cell: 3.899 4.361 12.995 Å, 90.00 90.00 90.00°
Space group Amm2 (No. 38)
Inequivalent atoms, fractional coordinates:
La1 0.000 0.000 0.000 (multiplicity 2)
Te1 0.000 0.000 0.297 (multiplicity 2)
Te2 0.500 0.000 0.628 (multiplicity 2)
Os1 0.500 0.000 0.429 (multiplicity 2)

Distance to the lowest polymorph of the same formula in meV/atom: 0
Total DFT energy (no corrections) in eV/atom: -6.5020



Entry 2:
Density functional theory data (PBEsol) for a relaxed HoSiPt2 crystal.

Cell: 7.208 6.905 5.422 Å, 90.00 90.00 90.00°
Space group Pnma (No. 62)
Inequivalent atoms, fractional coordinates:
Ho1 0.026 0.250 0.134 (multiplicity 4)
Si1 0.119 0.750 0.365 (multiplicity 4)
Pt1 0.182 0.051 0.592 (multiplicity 8)

Total DFT energy (no corrections) in eV/atom: -7.3718



Entry 3:
Density functional theory data (PBEsol) for a relaxed MnCrAs2 crystal.

Cell: 6.033 6.033 6.033 Å, 90.00 90.00 90.00°
Space group F-43m (No. 216)
Inequivalent atoms, fractional coordinates:
Mn1 0.000 0.000 0.000 (multiplicity 4)
Cr1 0.250 0.250 0.750 (multiplicity 4)
As1 0.000 0.000 0.500 (multiplicity 4)
As2 0.250 0.250 0.250 (multiplicity 4)

Distance to the lowest polymorph of the same formula in meV/atom: 131
Formation enthalpy at 0 K in eV/atom: 0.43
Total DFT energy (no corrections) in eV/atom: -7.1218



Entry 4:
Density functional theory data (PBEsol) for a relaxed HfSb3Cl crystal.

Cell: 5.096 5.096 5.096 Å, 90.00 90.00 90.00°
Space group Pm-3m (No. 221)
Inequivalent atoms, fractional coordinates:
Hf1 0.000 0.000 0.000 (multiplicity 1)
Sb1 0.000 0.500 0.500 (multiplicity 3)
Cl1 0.500 0.500 0.500 (multiplicity 1)

Total DFT energy (no corrections) in eV/atom: -4.4936



Entry 5:
Density functional theory data (PBEsol) for a relaxed Cr5C crystal.

Cell: 2.789 2.789 7.732 Å, 90.00 90.00 90.00°
Space group P4/mmm (No. 123)
Inequivalent atoms, fractional coordinates:
Cr1 0.000 0.000 0.000 (multiplicity 1)
Cr2 0.000 0.000 0.363 (multiplicity 2)
Cr3 0.500 0.500 0.179 (multiplicity 2)
C1 0.500 0.500 0.500 (multiplicity 1)

Formation enthalpy at 0 K in eV/atom: 0.26
Total DFT energy (no corrections) in eV/atom: -9.8847



Entry 6:
Density functional theory data (PBEsol) for a relaxed Mg2AsPb crystal.

Cell: 3.310 4.036 7.025 Å, 90.00 90.00 90.00°
Space group Pmm2 (No. 25)
Inequivalent atoms, fractional coordinates:
Mg1 0.000 0.000 0.000 (multiplicity 1)
Mg2 0.500 0.500 0.280 (multiplicity 1)
As1 0.500 0.500 0.893 (multiplicity 1)
Pb1 0.000 0.000 0.536 (multiplicity 1)

Distance to the lowest polymorph of the same formula in meV/atom: 96
Formation enthalpy at 0 K in eV/atom: -0.14
Total DFT energy (no corrections) in eV/atom: -3.2729



For each record above, in turn, the calculated D(E_F) values are 0.783 0.378 0.601 0.682 0.970 0.438 states/eV/atom.
For each record above, in turn, the calculated size of the total moment values are 0.0 0.0 2.9 0.0 0.0 0.0 μB per formula unit.